Material: CoPC
Method: DFT, PBE
State: relaxed

Cell and atoms, written as CIF:
```
data_CoPC
_cell_length_a 5.3372
_cell_length_b 4.0681
_cell_length_c 2.9440
_cell_angle_alpha 90.00
_cell_angle_beta 102.47
_cell_angle_gamma 90.00
_symmetry_space_group_name_H-M 'C 1 m 1'
_symmetry_Int_Tables_number 8
_symmetry_space_group_name_Hall 'C -2y'
loop_
_atom_site_label
_atom_site_type_symbol
_atom_site_fract_x
_atom_site_fract_y
_atom_site_fract_z
Co1 Co 0.0000 0.0000 0.0000
P1 P 0.0756 0.5000 0.6954
C1 C 0.3797 0.0000 0.1233
```

E in eV per formula unit: -20.43
Density of states at the Fermi level in states/eV per cell: 1.1
Relative energy among the computed polymorphs in kJ per mole of atoms: 16.0
Energy relative to the elements in eV per formula unit: 1.31